[1]
DFT (PBE) results for an optimized crystal structure of TbNd4Ho15.

a = 5.035 Å, b = 5.035 Å, c = 25.079 Å
α = 90.00°, β = 90.00°, γ = 90.00°
Space group P4/mmm (No. 123)
Symmetry-distinct sites (fractional):
Tb1 0.000 0.000 0.000 x1
Nd1 0.000 0.000 0.199 x2
Nd2 0.000 0.000 0.400 x2
Ho1 0.000 0.500 0.099 x4
Ho2 0.000 0.500 0.300 x4
Ho3 0.000 0.500 0.500 x2
Ho4 0.500 0.500 0.000 x1
Ho5 0.500 0.500 0.199 x2
Ho6 0.500 0.500 0.400 x2

Properties
DOS at the Fermi energy ... 26.5 states/eV/f.u.
DFT total energy ... -91.955 eV/f.u.
Magnetic moment ... 0.0 μB/f.u.
Calculated density ... 8.383 Mg/m³

=====

[2]
DFT (PBE) results for an optimized crystal structure of TiReSeN2.

a = 3.835 Å, b = 3.835 Å, c = 5.275 Å
α = 90.00°, β = 90.00°, γ = 90.00°
Space group P4/mmm (No. 123)
Symmetry-distinct sites (fractional):
Ti1 0.000 0.000 0.000 x1
Re1 0.500 0.500 0.500 x1
Se1 0.500 0.500 0.000 x1
N1 0.000 0.500 0.500 x2

Properties
DOS at the Fermi energy ... 5.6 states/eV/f.u.
DFT total energy ... -38.789 eV/f.u.
Magnetic moment ... 0.1 μB/f.u.
Calculated density ... 7.299 Mg/m³

=====

[3]
DFT (PBE) results for an optimized crystal structure of ErZrAg.

a = 3.358 Å, b = 3.358 Å, c = 12.457 Å
α = 90.00°, β = 90.00°, γ = 90.00°
Space group I4mm (No. 107)
Symmetry-distinct sites (fractional):
Er1 0.000 0.000 0.000 x2
Zr1 0.000 0.000 0.320 x2
Ag1 0.000 0.000 0.669 x2

Properties
DOS at the Fermi energy ... 4.6 states/eV/f.u.
DFT total energy ... -16.245 eV/f.u.
Magnetic moment ... 0.0 μB/f.u.
Calculated density ... 8.661 Mg/m³

=====

[4]
DFT (PBE) results for an optimized crystal structure of ZnCdRu.

a = 3.019 Å, b = 4.765 Å, c = 13.799 Å
α = 90.00°, β = 90.00°, γ = 90.00°
Space group Fmm2 (No. 42)
Symmetry-distinct sites (fractional):
Zn1 0.000 0.000 0.000 x4
Cd1 0.000 0.000 0.679 x4
Ru1 0.000 0.000 0.351 x4

Properties
DOS at the Fermi energy ... 2.3 states/eV/f.u.
DFT total energy ... -10.655 eV/f.u.
Magnetic moment ... 0.8 μB/f.u.
Calculated density ... 9.332 Mg/m³

=====

[5]
DFT (PBE) results for an optimized crystal structure of NiRuPt2.

a = 2.707 Å, b = 4.164 Å, c = 5.241 Å
α = 90.00°, β = 104.82°, γ = 90.00°
Space group Pm (No. 6)
Symmetry-distinct sites (fractional):
Ni1 0.000 0.000 0.000 x1
Ru1 0.856 0.500 0.730 x1
Pt1 0.249 0.000 0.517 x1
Pt2 0.594 0.500 0.203 x1

Properties
DOS at the Fermi energy ... 6.7 states/eV/f.u.
DFT total energy ... -26.799 eV/f.u.
Magnetic moment ... 0.4 μB/f.u.
Calculated density ... 15.991 Mg/m³

=====

[6]
DFT (PBE) results for an optimized crystal structure of Tl2V2CoS6.

a = 5.832 Å, b = 10.393 Å, c = 7.931 Å
α = 90.00°, β = 108.34°, γ = 90.00°
Space group C2/m (No. 12)
Symmetry-distinct sites (fractional):
Tl1 0.000 0.163 0.000 x4
V1 0.000 0.314 0.500 x4
Co1 0.000 0.000 0.500 x2
S1 0.240 0.155 0.679 x8
S2 0.242 0.500 0.663 x4

Properties
DOS at the Fermi energy ... 1.4 states/eV/f.u.
DFT total energy ... -61.411 eV/f.u.
Magnetic moment ... 3.0 μB/f.u.
Calculated density ... 5.546 Mg/m³

=====

[7]
DFT (PBE) results for an optimized crystal structure of NaAlAsS4.

a = 6.346 Å, b = 6.346 Å, c = 8.795 Å
α = 90.00°, β = 90.00°, γ = 90.00°
Space group I-4 (No. 82)
Symmetry-distinct sites (fractional):
Na1 0.000 0.000 0.000 x2
Al1 0.000 0.000 0.500 x2
As1 0.000 0.500 0.250 x2
S1 0.199 0.770 0.365 x8

Properties
DOS at the Fermi energy ... 4.5 states/eV/f.u.
DFT total energy ... -30.385 eV/f.u.
Magnetic moment ... 0.0 μB/f.u.
Calculated density ... 2.373 Mg/m³

=====

[8]
DFT (PBE) results for an optimized crystal structure of CaTmRh2.

a = 6.774 Å, b = 6.774 Å, c = 6.774 Å
α = 90.00°, β = 90.00°, γ = 90.00°
Space group Fm-3m (No. 225)
Symmetry-distinct sites (fractional):
Ca1 0.000 0.000 0.000 x4
Tm1 0.000 0.000 0.500 x4
Rh1 0.250 0.250 0.250 x8

Properties
DOS at the Fermi energy ... 1.6 states/eV/f.u.
DFT total energy ... -23.831 eV/f.u.
Magnetic moment ... 0.0 μB/f.u.
Calculated density ... 8.863 Mg/m³

=====

[9]
DFT (PBE) results for an optimized crystal structure of Bi3S4Cl.

a = 14.881 Å, b = 7.132 Å, c = 10.226 Å
α = 90.00°, β = 115.51°, γ = 90.00°
Space group Cc (No. 9)
Symmetry-distinct sites (fractional):
Bi1 0.000 0.013 0.000 x4
Bi2 0.124 0.485 0.204 x4
Bi3 0.226 0.013 0.410 x4
S1 0.037 0.157 0.264 x4
S2 0.099 0.307 0.960 x4
S3 0.186 0.164 0.648 x4
S4 0.300 0.328 0.359 x4
Cl1 0.420 0.156 0.050 x4

Properties
DFT total energy ... -33.481 eV/f.u.
Magnetic moment ... 0.0 μB/f.u.
Calculated density ... 5.362 Mg/m³

=====

[10]
DFT (PBE) results for an optimized crystal structure of TiMo2Au.

a = 3.788 Å, b = 3.788 Å, c = 19.656 Å
α = 90.00°, β = 90.00°, γ = 90.00°
Space group I-42d (No. 122)
Symmetry-distinct sites (fractional):
Ti1 0.000 0.000 0.000 x4
Mo1 0.229 0.250 0.125 x8
Au1 0.000 0.000 0.500 x4

Properties
DOS at the Fermi energy ... 2.9 states/eV/f.u.
DFT total energy ... -31.194 eV/f.u.
Magnetic moment ... 0.0 μB/f.u.
Calculated density ... 10.286 Mg/m³

=====

[11]
DFT (PBE) results for an optimized crystal structure of NbCuTe2.

a = 3.6774 Å, b = 3.6774 Å, c = 25.8845 Å
α = 90.00°, β = 90.00°, γ = 120.00°
Space group R-3m (No. 166, hexagonal axes)
Symmetry-distinct sites (fractional):
Nb1 0.0000 0.0000 0.0000 x3
Cu1 0.0000 0.0000 0.5000 x3
Te1 0.0000 0.0000 0.4042 x6

Properties
DOS at the Fermi energy ... 1.2 states/eV/f.u.
DFT total energy ... -20.747 eV/f.u.
Magnetic moment ... 0.0 μB/f.u.
Calculated density ... 6.765 Mg/m³

=====

[12]
DFT (PBE) results for an optimized crystal structure of Dy2MgAg2.

a = 7.933 Å, b = 7.933 Å, c = 3.891 Å
α = 90.00°, β = 90.00°, γ = 90.00°
Space group P4/mbm (No. 127)
Symmetry-distinct sites (fractional):
Dy1 0.168 0.332 0.000 x4
Mg1 0.000 0.000 0.500 x2
Ag1 0.130 0.630 0.500 x4

Properties
DOS at the Fermi energy ... 4.9 states/eV/f.u.
DFT total energy ... -17.847 eV/f.u.
Magnetic moment ... 0.0 μB/f.u.
Calculated density ... 7.665 Mg/m³

=====

[13]
DFT (PBE) results for an optimized crystal structure of InPbIO2.

a = 4.427 Å, b = 4.427 Å, c = 6.534 Å
α = 90.00°, β = 90.00°, γ = 90.00°
Space group P4/mmm (No. 123)
Symmetry-distinct sites (fractional):
In1 0.000 0.000 0.000 x1
Pb1 0.500 0.500 0.500 x1
I1 0.500 0.500 0.000 x1
O1 0.000 0.500 0.500 x2

Properties
DOS at the Fermi energy ... 2.5 states/eV/f.u.
DFT total energy ... -19.130 eV/f.u.
Magnetic moment ... 0.2 μB/f.u.
Calculated density ... 6.237 Mg/m³